i) Sm3Tm: optimized geometry, PBE.

The structure in POSCAR format:
```
Sm3Tm
1.0
3.655 0.000 0.000
0.000 6.293 0.000
-1.827 -3.146 5.768
Sm Tm
3 1
Direct
0.252 0.585 0.504 Sm
0.748 0.081 0.496 Sm
0.500 0.499 0.000 Sm
0.000 0.001 0.000 Tm
```

ii) Sm3Tm: optimized geometry, PBE.

The structure in POSCAR format:
```
Sm3Tm
1.0
6.214 0.002 0.000
2.046 5.867 0.000
-4.130 -2.934 3.598
Tm Sm
1 3
Direct
0.000 0.000 0.000 Tm
0.750 0.250 0.500 Sm
0.500 0.500 0.000 Sm
0.250 0.750 0.500 Sm
```

Short version: i) is the least stable of them.

i) Sm3Tm: optimized geometry, PBE.

The structure in POSCAR format:
```
Sm3Tm
1.0
5.079 0.000 0.000
0.000 5.079 0.000
0.000 0.000 5.079
Tm Sm
1 3
Direct
0.000 0.000 0.000 Tm
0.500 0.000 0.500 Sm
0.500 0.500 0.000 Sm
0.000 0.500 0.500 Sm
```

ii) Sm3Tm: optimized geometry, PBE.

The structure in POSCAR format:
```
Sm3Tm
1.0
-1.890 3.028 -0.173
-2.464 -1.254 4.946
10.490 4.807 6.444
Sm Tm
6 2
Direct
0.711 0.250 0.422 Sm
0.458 0.250 0.917 Sm
0.087 0.250 0.173 Sm
0.542 0.750 0.083 Sm
0.289 0.750 0.578 Sm
0.913 0.750 0.827 Sm
0.843 0.250 0.685 Tm
0.157 0.750 0.315 Tm
```

iii) Sm3Tm: optimized geometry, PBE.

The structure in POSCAR format:
```
Sm3Tm
1.0
3.654 0.000 0.000
0.000 5.758 0.000
0.000 0.000 6.314
Sm Tm
3 1
Direct
0.500 0.500 0.833 Sm
0.500 0.000 0.499 Sm
0.000 0.500 0.333 Sm
0.000 0.000 0.001 Tm
```

Short version: ii) is the least stable of them.

i) Sm3Tm: optimized geometry, PBE.

The structure in POSCAR format:
```
Sm3Tm
1.0
-1.835 2.173 6.717
-1.938 -6.630 -2.345
4.928 -2.164 2.046
Sm Tm
6 2
Direct
0.665 0.833 0.250 Sm
0.833 0.665 0.750 Sm
0.335 0.167 0.750 Sm
0.167 0.833 0.250 Sm
0.167 0.335 0.250 Sm
0.833 0.167 0.750 Sm
0.667 0.333 0.250 Tm
0.333 0.667 0.750 Tm
```

ii) Sm3Tm: optimized geometry, PBE.

The structure in POSCAR format:
```
Sm3Tm
1.0
-5.215 -0.654 -2.264
-0.689 -3.127 -4.743
-2.624 -5.079 0.277
Sm Tm
3 1
Direct
0.750 0.750 0.750 Sm
0.000 0.000 0.000 Sm
0.250 0.250 0.250 Sm
0.500 0.500 0.500 Tm
```

Short version: ii) is the least stable of them.